i | First-principles (PBE) data for a relaxed YV2I crystal, as listed in Alexandria.

Cell lengths 4.838, 4.838, 4.838 Å; angles 60.00, 60.00, 60.00 degrees
Each line ends with the local moment (μB).
Fractional coordinates of all 4 atoms:
V 0.750 0.750 0.750  1.82
V 0.250 0.250 0.250  1.82
I 0.500 0.500 0.500  -0.03
Y 0.000 0.000 0.000  0.20



ii | First-principles (PBE) data for a relaxed YV2I crystal, as listed in Alexandria.

Cell lengths 8.032, 8.032, 6.404 Å; angles 51.17, 51.17, 90.00 degrees
Each line ends with the local moment (μB).
Fractional coordinates of all 8 atoms:
I 0.000 0.000 0.000  -0.03
I 0.750 0.250 0.500  -0.03
V 0.066 0.625 0.250  1.95
V 0.375 0.316 0.750  1.95
V 0.684 0.125 0.250  1.95
V 0.875 0.934 0.750  1.95
Y 0.250 0.750 0.500  -0.02
Y 0.500 0.500 0.000  -0.02



So which one wins? Going from most stable to least: i, ii.



i | First-principles (PBE) data for a relaxed V2Zn2I crystal, as listed in Alexandria.

Cell lengths 3.576, 3.576, 7.190 Å; angles 75.60, 75.60, 90.00 degrees
Each line ends with the local moment (μB).
Fractional coordinates of all 5 atoms:
Zn 0.250 0.750 0.500  0.01
Zn 0.750 0.250 0.500  0.01
I 0.000 0.000 0.000  -0.01
V 0.594 0.594 0.813  0.50
V 0.406 0.406 0.187  0.50



ii | First-principles (PBE) data for a relaxed V2Zn2I crystal, as listed in Alexandria.

Cell lengths 7.176, 7.176, 3.516 Å; angles 90.00, 90.00, 90.00 degrees
Fractional coordinates of all 10 atoms:
V 0.600 0.100 0.000
V 0.100 0.400 0.000
V 0.900 0.600 0.000
V 0.400 0.900 0.000
I 0.500 0.500 0.000
I 0.000 0.000 0.000
Zn 0.187 0.687 0.500
Zn 0.813 0.313 0.500
Zn 0.313 0.187 0.500
Zn 0.687 0.813 0.500



So which one wins? Going from most stable to least: ii, i.



i | First-principles (PBE) data for a relaxed V3ZnI crystal, as listed in Alexandria.

Cell lengths 4.770, 4.770, 4.770 Å; angles 90.00, 90.00, 90.00 degrees
Each line ends with the local moment (μB).
Fractional coordinates of all 5 atoms:
V 0.000 0.000 0.500  2.27
V 0.500 0.000 0.000  2.27
V 0.000 0.500 0.000  2.27
Zn 0.000 0.000 0.000  0.01
I 0.500 0.500 0.500  -0.08



ii | First-principles (PBE) data for a relaxed V3ZnI crystal, as listed in Alexandria.

Cell lengths 4.854, 4.854, 4.854 Å; angles 90.00, 90.00, 90.00 degrees
Each line ends with the local moment (μB).
Fractional coordinates of all 5 atoms:
V 0.500 0.000 0.000  1.81
V 0.000 0.000 0.500  1.81
V 0.000 0.500 0.000  1.81
Zn 0.500 0.500 0.500  -0.06
I 0.000 0.000 0.000  -0.03



So which one wins? Going from most stable to least: i, ii.



i | First-principles (PBE) data for a relaxed Zr3VI crystal, as listed in Alexandria.

Cell lengths 4.994, 4.994, 4.994 Å; angles 90.00, 90.00, 90.00 degrees
Fractional coordinates of all 5 atoms:
Zr 0.500 0.000 0.000
Zr 0.000 0.000 0.500
Zr 0.000 0.500 0.000
V 0.000 0.000 0.000
I 0.500 0.500 0.500



ii | First-principles (PBE) data for a relaxed Zr3VI crystal, as listed in Alexandria.

Cell lengths 5.218, 5.218, 5.218 Å; angles 90.00, 90.00, 90.00 degrees
Each line ends with the local moment (μB).
Fractional coordinates of all 5 atoms:
Zr 0.000 0.000 0.500  -0.16
Zr 0.000 0.500 0.000  -0.16
Zr 0.500 0.000 0.000  -0.16
I 0.000 0.000 0.000  0.00
V 0.500 0.500 0.500  2.69



So which one wins? Going from most stable to least: i, ii.



i | First-principles (PBE) data for a relaxed ZrV3I crystal, as listed in Alexandria.

Cell lengths 4.732, 4.732, 4.732 Å; angles 90.00, 90.00, 90.00 degrees
Fractional coordinates of all 5 atoms:
V 0.000 0.000 0.500
V 0.000 0.500 0.000
V 0.500 0.000 0.000
Zr 0.500 0.500 0.500
I 0.000 0.000 0.000



ii | First-principles (PBE) data for a relaxed ZrV3I crystal, as listed in Alexandria.

Cell lengths 4.797, 4.797, 4.797 Å; angles 90.00, 90.00, 90.00 degrees
Fractional coordinates of all 5 atoms:
V 0.000 0.500 0.000
V 0.500 0.000 0.000
V 0.000 0.000 0.500
Zr 0.000 0.000 0.000
I 0.500 0.500 0.500



So which one wins? Going from most stable to least: i, ii.



i | First-principles (PBE) data for a relaxed WI crystal, as listed in Alexandria.

Cell lengths 9.848, 3.990, 10.835 Å; angles 90.00, 90.00, 90.00 degrees
Fractional coordinates of all 16 atoms:
W 0.577 0.799 0.819
W 0.077 0.701 0.181
W 0.423 0.299 0.681
W 0.553 0.761 0.583
W 0.947 0.239 0.083
W 0.053 0.739 0.417
W 0.447 0.261 0.917
W 0.923 0.201 0.319
I 0.670 0.506 0.052
I 0.830 0.494 0.552
I 0.170 0.994 0.948
I 0.348 0.492 0.171
I 0.152 0.508 0.671
I 0.330 0.006 0.448
I 0.652 0.992 0.329
I 0.848 0.008 0.829



ii | First-principles (PBE) data for a relaxed WI crystal, as listed in Alexandria.

Cell lengths 9.102, 9.102, 9.102 Å; angles 90.00, 90.00, 90.00 degrees
Fractional coordinates of all 16 atoms:
W 0.096 0.096 0.904
W 0.404 0.404 0.404
W 0.596 0.596 0.404
W 0.404 0.596 0.596
W 0.904 0.096 0.096
W 0.596 0.404 0.596
W 0.096 0.904 0.096
W 0.904 0.904 0.904
I 0.224 0.776 0.776
I 0.724 0.276 0.276
I 0.224 0.224 0.224
I 0.276 0.276 0.724
I 0.724 0.724 0.724
I 0.776 0.776 0.224
I 0.276 0.724 0.276
I 0.776 0.224 0.776



iii | First-principles (PBE) data for a relaxed WI crystal, as listed in Alexandria.

Cell lengths 6.796, 6.796, 5.118 Å; angles 90.00, 90.00, 90.00 degrees
Fractional coordinates of all 8 atoms:
I 0.773 0.773 0.500
I 0.727 0.273 0.000
I 0.273 0.727 0.000
I 0.227 0.227 0.500
W 0.883 0.883 0.000
W 0.617 0.383 0.500
W 0.383 0.617 0.500
W 0.117 0.117 0.000



iv | First-principles (PBE) data for a relaxed WI crystal, as listed in Alexandria.

Cell lengths 3.364, 8.412, 11.000 Å; angles 90.00, 90.00, 90.00 degrees
Fractional coordinates of all 12 atoms:
W 0.500 0.543 0.000
W 0.000 0.043 0.175
W 0.000 0.457 0.500
W 0.000 0.043 0.825
W 0.500 0.957 0.325
W 0.500 0.957 0.675
I 0.500 0.325 0.169
I 0.000 0.675 0.669
I 0.000 0.675 0.331
I 0.500 0.325 0.831
I 0.000 0.798 0.000
I 0.500 0.202 0.500



So which one wins? Going from most stable to least: i, ii, iv, iii.